Record 1
Material: Tb2TmAl2Cd3In
Method: DFT, PBE-GGA
State: relaxed

Summary:
Crystal system: orthorhombic
Space-group type: Amm2, No. 38

Cell and atoms, written as extended XYZ:
```
9
Lattice="4.554 0.000 0.000 0.000 6.318 3.665 0.000 -6.318 3.665" Properties=species:S:1:pos:R:3 pbc="T T T"
Tb 0.000 2.757 1.603
Tb 0.000 -2.757 1.603
Cd 2.277 -1.613 6.394
Cd 2.277 0.000 1.878
Cd 2.277 1.613 6.394
In 0.000 0.000 7.315
Tm 0.000 0.000 4.129
Al 2.277 2.092 3.668
Al 2.277 -2.092 3.668
```


Record 2
Material: PmAlAu
Method: DFT, PBE-GGA
State: relaxed

Summary:
Crystal system: cubic
Space-group type: F-43m, No. 216

Cell and atoms, written as extended XYZ:
```
3
Lattice="-4.033 -2.640 0.766 -4.054 2.160 1.649 -3.856 0.525 -2.945" Properties=species:S:1:pos:R:3 pbc="T T T"
Au -8.958 0.034 -0.398
Pm 0.000 0.000 0.000
Al -2.986 0.011 -0.133
```


Record 3
Material: NaLaSiPd
Method: DFT, PBE-GGA
State: relaxed

Summary:
Crystal system: cubic
Space-group type: F-43m, No. 216

Cell and atoms, written as extended XYZ:
```
4
Lattice="0.000 3.449 3.449 3.449 0.000 3.449 3.449 3.449 0.000" Properties=species:S:1:pos:R:3 pbc="T T T"
Na 5.174 5.174 5.174
Pd 3.449 3.449 3.449
Si 1.725 1.725 1.725
La 0.000 0.000 0.000
```


| no. | total energy (eV/atom) |
| --- | --- |
| 1 | -3.3542 |
| 2 | -3.9278 |
| 3 | -4.5397 |